No. 1
VASP calculation (PBE) on a geometry-optimized Ac3Dy4Tl4 structure.

Values from the calculation:
* volume: 370.4 Å³ per cell
* formation energy: -0.25 eV/atom
* total DFT energy (no corrections): -3.902 eV per atom

a b c (Å): 5.028 8.538 9.949
angles (deg): 115.41 104.64 90.00
Each line ends with the local moment (μB).
Fractional positions:
1 Dy 0.672 0.472 0.345  0.06
2 Dy 0.328 0.528 0.655  0.06
3 Dy 0.328 0.127 0.655  0.06
4 Dy 0.672 0.873 0.345  0.06
5 Ac 0.000 0.500 0.000  0.02
6 Ac 0.114 0.114 0.228  0.01
7 Ac 0.886 0.886 0.772  0.01
8 Tl 0.218 0.718 0.436  0.00
9 Tl 0.500 0.192 0.000  0.00
10 Tl 0.500 0.808 0.000  0.00
11 Tl 0.782 0.282 0.564  0.00


No. 2
VASP calculation (PBE) on a geometry-optimized La2AgHPt structure.

Values from the calculation:
* volume: 107.3 Å³ per cell
* E above lowest polymorph: 0 meV per atom
* total DFT energy (no corrections): -5.007 eV per atom

a b c (Å): 5.304 5.304 3.815
angles (deg): 90.00 90.00 90.00
Fractional positions:
1 Pt 0.000 0.000 0.500
2 H 0.000 0.000 0.000
3 La 0.000 0.500 0.000
4 La 0.500 0.000 0.000
5 Ag 0.500 0.500 0.500


No. 3
VASP calculation (PBE) on a geometry-optimized Ce7TcBr12 structure.

Values from the calculation:
* volume: 708.1 Å³ per cell
* formation energy from raw total energies: -1.494 eV per atom
* total DFT energy (no corrections): -5.092 eV per atom

a b c (Å): 9.525 9.525 9.525
angles (deg): 107.57 107.57 107.57
Each line ends with the local moment (μB).
Fractional positions:
1 Br 0.158 0.385 0.471  -0.01
2 Br 0.385 0.471 0.158  -0.01
3 Br 0.686 0.221 0.077  -0.01
4 Br 0.779 0.923 0.314  -0.01
5 Br 0.471 0.158 0.385  -0.01
6 Br 0.077 0.686 0.221  -0.01
7 Br 0.923 0.314 0.779  -0.01
8 Br 0.615 0.529 0.842  -0.01
9 Br 0.314 0.779 0.923  -0.01
10 Br 0.842 0.615 0.529  -0.01
11 Br 0.221 0.077 0.686  -0.01
12 Br 0.529 0.842 0.615  -0.01
13 Ce 0.967 0.682 0.887  1.18
14 Ce 0.318 0.113 0.033  1.18
15 Ce 0.113 0.033 0.318  1.18
16 Ce 0.033 0.318 0.113  1.18
17 Ce 0.887 0.967 0.682  1.18
18 Ce 0.500 0.500 0.500  1.34
19 Ce 0.682 0.887 0.967  1.18
20 Tc 0.000 0.000 0.000  -0.23


No. 4
VASP calculation (PBE) on a geometry-optimized AcLa15Tl4 structure.

Values from the calculation:
* volume: 673.7 Å³ per cell
* formation energy: -0.18 eV/atom
* total DFT energy (no corrections): -4.557 eV per atom

a b c (Å): 5.108 5.108 25.819
angles (deg): 90.00 90.00 90.00
Fractional positions:
1 Ac 0.000 0.000 0.000
2 La 0.000 0.500 0.696
3 La 0.500 0.000 0.107
4 La 0.500 0.500 0.000
5 La 0.500 0.000 0.304
6 La 0.500 0.500 0.792
7 La 0.500 0.000 0.500
8 La 0.000 0.500 0.304
9 La 0.000 0.500 0.107
10 La 0.000 0.500 0.500
11 La 0.500 0.500 0.401
12 La 0.500 0.500 0.208
13 La 0.500 0.500 0.599
14 La 0.500 0.000 0.696
15 La 0.500 0.000 0.893
16 La 0.000 0.500 0.893
17 Tl 0.000 0.000 0.206
18 Tl 0.000 0.000 0.402
19 Tl 0.000 0.000 0.794
20 Tl 0.000 0.000 0.598


No. 5
VASP calculation (PBE) on a geometry-optimized MgScTa structure.

Values from the calculation:
* volume: 252.6 Å³ per cell
* formation energy: 0.15 eV/atom
* E above lowest polymorph: 86 meV per atom
* total DFT energy (no corrections): -6.447 eV per atom

a b c (Å): 5.999 2.948 14.605
angles (deg): 90.00 102.01 90.00
Fractional positions:
1 Sc 0.165 0.500 0.827
2 Sc 0.165 0.000 0.327
3 Sc 0.835 0.000 0.673
4 Sc 0.835 0.500 0.173
5 Ta 0.655 0.000 0.322
6 Ta 0.345 0.000 0.678
7 Ta 0.345 0.500 0.178
8 Ta 0.655 0.500 0.822
9 Mg 0.000 0.000 0.000
10 Mg 0.500 0.000 0.000
11 Mg 0.500 0.500 0.500
12 Mg 0.000 0.500 0.500


No. 6
VASP calculation (PBE) on a geometry-optimized K2Bi structure.

Values from the calculation:
* volume: 237.1 Å³ per cell
* formation energy: -0.31 eV/atom
* E above lowest polymorph: 0 meV per atom
* total DFT energy (no corrections): -2.332 eV per atom

a b c (Å): 5.582 3.844 11.051
angles (deg): 90.00 90.00 90.00
Fractional positions:
1 K 0.000 0.000 0.344
2 K 0.500 0.500 0.844
3 K 0.500 0.500 0.156
4 K 0.000 0.000 0.656
5 Bi 0.000 0.000 0.000
6 Bi 0.500 0.500 0.500


No. 7
VASP calculation (PBE) on a geometry-optimized LaBeTl2 structure.

Values from the calculation:
* volume: 101.9 Å³ per cell
* formation energy: 0.15 eV/atom
* E above lowest polymorph: 167 meV per atom
* total DFT energy (no corrections): -3.193 eV per atom

a b c (Å): 5.243 5.243 5.243
angles (deg): 60.00 60.00 60.00
Fractional positions:
1 Be 0.000 0.000 0.000
2 La 0.500 0.500 0.500
3 Tl 0.750 0.750 0.750
4 Tl 0.250 0.250 0.250


No. 8
VASP calculation (PBE) on a geometry-optimized Rb2H2F structure.

Values from the calculation:
* volume: 235.6 Å³ per cell
* E above lowest polymorph: 0 meV per atom
* total DFT energy (no corrections): -3.182 eV per atom

a b c (Å): 4.183 7.704 9.333
angles (deg): 124.00 90.00 105.75
Fractional positions:
1 H 0.834 0.668 0.189
2 H 0.976 0.952 0.450
3 H 0.166 0.332 0.811
4 H 0.024 0.048 0.550
5 F 0.363 0.727 0.727
6 F 0.637 0.273 0.273
7 Rb 0.290 0.580 0.370
8 Rb 0.404 0.808 0.075
9 Rb 0.710 0.420 0.630
10 Rb 0.596 0.192 0.925